Material: LiVNiO4
Method: DFT, SCAN
State: PBEsol geometry

Output
relative energy among the computed polymorphs	22.1	meV per atom
total moment	0.286	μB per atom
formation energy from raw total energies	-2239.6	meV/atom
final energy	-10.951	eV per atom

Cell: 5.034 5.034 6.112 Å, 90.00 90.00 113.52°
Positions (direct):
Li: 0.166 0.834 0.750
Li: 0.834 0.166 0.250
V: 0.148 0.852 0.250
V: 0.852 0.148 0.750
Ni: 0.500 0.500 0.000
Ni: 0.500 0.500 0.500
O: 0.233 0.269 0.750
O: 0.267 0.733 0.028
O: 0.267 0.733 0.472
O: 0.269 0.233 0.250
O: 0.731 0.767 0.750
O: 0.733 0.267 0.528
O: 0.733 0.267 0.972
O: 0.767 0.731 0.250


Material: Sr2FeWO6
Method: DFT, SCAN
State: PBEsol geometry

Output
total moment	0.000	μB per atom
formation energy from raw total energies	-2621.0	meV/atom
final energy	-19.597	eV per atom

Cell: 5.452 5.452 5.452 Å, 120.00 120.00 90.00°
Positions (direct):
Sr: 0.250 0.750 0.500
Sr: 0.750 0.250 0.500
Fe: 0.000 0.000 0.000
W: 0.500 0.500 0.000
O: 0.247 0.749 0.996
O: 0.249 0.249 0.000
O: 0.251 0.247 0.499
O: 0.749 0.753 0.501
O: 0.751 0.751 0.000
O: 0.753 0.251 0.004